(1)
# ZnPdPt

A relaxed structure of ZnPdPt (GGA-PBE, Alexandria via LeMat-Bulk).

Properties
E_form: -0.406 eV per atom
DOS at the Fermi energy: 8.18 states/eV per cell
Magnetic moment: 0.000 μB per atom
Space-group type: C2/m, No. 12
Excess energy over the best structure of this formula in the dataset: 22 meV/atom

Cell: 5.488 4.000 8.407 Å, 90.00 102.93 90.00°
Sites, in units of the cell vectors:
Pd 0.682 0.000 0.829
Pd 0.682 0.500 0.329
Zn 0.816 0.000 0.159
Zn 0.816 0.500 0.659
Pd 0.318 0.500 0.671
Zn 0.184 0.000 0.841
Pt 0.000 0.000 0.500
Pt 0.500 0.000 0.500
Pt 0.500 0.500 0.000
Pd 0.318 0.000 0.171
Pt 0.000 0.500 0.000
Zn 0.184 0.500 0.341


(2)
# Zn4Pd2Pt3

A relaxed structure of Zn4Pd2Pt3 (GGA-PBE, Alexandria via LeMat-Bulk).

Properties
E_form: -0.495 eV per atom
DOS at the Fermi energy: 3.71 states/eV per cell
Magnetic moment: 0.000 μB per atom
Space-group type: P-3m1, No. 164

Cell: 4.331 4.333 8.150 Å, 89.96 90.00 60.01°
Sites, in units of the cell vectors:
Pd 0.667 0.666 0.214
Pt 0.333 0.333 0.422
Zn 0.667 0.667 0.892
Zn 0.333 0.333 0.108
Pt 0.000 0.000 0.000
Zn 0.000 0.000 0.665
Zn 0.000 0.000 0.335
Pd 0.333 0.334 0.786
Pt 0.667 0.667 0.578


(3)
# Zn4PdPt

A relaxed structure of Zn4PdPt (GGA-PBE, Alexandria via LeMat-Bulk).

Properties
E_form: -0.298 eV per atom
DOS at the Fermi energy: 1.45 states/eV per cell
Magnetic moment: 0.000 μB per atom
Space-group type: C2/m, No. 12
Excess energy over the best structure of this formula in the dataset: 111 meV/atom

Cell: 4.192 4.192 7.374 Å, 74.05 74.05 59.90°
Sites, in units of the cell vectors:
Zn 0.875 0.875 0.369
Pd 0.500 0.500 0.500
Zn 0.375 0.375 0.870
Zn 0.625 0.625 0.130
Zn 0.125 0.125 0.631
Pt 0.000 0.000 0.000


(4)
# Zn10PdPt6

A relaxed structure of Zn10PdPt6 (GGA-PBE, Alexandria via LeMat-Bulk).

Properties
E_form: -0.416 eV per atom
DOS at the Fermi energy: 8.34 states/eV per cell
Magnetic moment: 0.000 μB per atom
Space-group type: P-31m, No. 162

Cell: 5.204 7.573 7.573 Å, 120.00 90.00 90.00°
Sites, in units of the cell vectors:
Zn 0.195 0.281 0.281
Pd 0.500 0.000 0.000
Zn 0.000 0.667 0.333
Pt 0.710 0.629 0.000
Zn 0.500 0.333 0.667
Zn 0.805 0.000 0.281
Pt 0.710 0.371 0.371
Zn 0.195 0.719 0.000
Zn 0.000 0.333 0.667
Pt 0.290 0.629 0.629
Zn 0.500 0.667 0.333
Pt 0.290 0.371 0.000
Zn 0.805 0.281 0.000
Pt 0.290 0.000 0.371
Zn 0.195 0.000 0.719
Zn 0.805 0.719 0.719
Pt 0.710 0.000 0.629